*w*
Material: SmTlHgSe3
Method: DFT, PBE-GGA
State: optimized geometry

abc: 7.634 7.634 11.094
angles: 90.00 90.00 147.71
Fractional coordinates of all 12 atoms:
Se1 0.636 0.364 0.451
Se2 0.364 0.636 0.951
Se3 0.921 0.079 0.250
Se4 0.636 0.364 0.049
Se5 0.079 0.921 0.750
Se6 0.364 0.636 0.549
Sm1 0.000 0.000 0.500
Sm2 0.000 0.000 0.000
Hg1 0.540 0.460 0.250
Hg2 0.460 0.540 0.750
Tl1 0.752 0.248 0.750
Tl2 0.248 0.752 0.250

magnetic moment	0.0	μB/f.u.
SG	Cmcm, No. 63



*x*
Material: SmTlHgSe3
Method: DFT, PBE-GGA
State: optimized geometry

abc: 8.428 4.443 17.366
angles: 90.00 90.00 90.00
Fractional coordinates of all 24 atoms:
Se1 0.724 0.750 0.208
Se2 0.276 0.250 0.792
Se3 0.224 0.750 0.292
Se4 0.125 0.250 0.555
Se5 0.776 0.250 0.708
Se6 0.625 0.250 0.945
Se7 0.505 0.750 0.575
Se8 0.005 0.750 0.925
Se9 0.495 0.250 0.425
Se10 0.875 0.750 0.445
Se11 0.995 0.250 0.075
Se12 0.375 0.750 0.055
Hg1 0.071 0.750 0.159
Hg2 0.429 0.250 0.659
Hg3 0.571 0.750 0.341
Hg4 0.929 0.250 0.841
Tl1 0.933 0.250 0.305
Tl2 0.567 0.750 0.805
Tl3 0.433 0.250 0.195
Tl4 0.067 0.750 0.695
Sm1 0.274 0.250 0.960
Sm2 0.774 0.250 0.540
Sm3 0.226 0.750 0.460
Sm4 0.726 0.750 0.040

magnetic moment	0.0	μB/f.u.
SG	Pnma, No. 62



Which structure loses on stability? *x* does.



*w*
Material: SmTlHgSe3
Method: DFT, PBE-GGA
State: optimized geometry

abc: 14.497 4.295 11.407
angles: 90.00 90.00 90.00
Fractional coordinates of all 24 atoms:
Se1 0.403 0.250 0.919
Se2 0.905 0.750 0.876
Se3 0.845 0.750 0.266
Se4 0.095 0.250 0.124
Se5 0.345 0.750 0.234
Se6 0.595 0.250 0.376
Se7 0.097 0.750 0.419
Se8 0.903 0.250 0.581
Se9 0.155 0.250 0.734
Se10 0.655 0.250 0.766
Se11 0.597 0.750 0.081
Se12 0.405 0.750 0.624
Tl1 0.256 0.250 0.454
Tl2 0.744 0.750 0.546
Tl3 0.244 0.750 0.954
Tl4 0.756 0.250 0.046
Sm1 0.971 0.250 0.344
Sm2 0.529 0.750 0.844
Sm3 0.471 0.250 0.156
Sm4 0.029 0.750 0.656
Hg1 0.021 0.250 0.893
Hg2 0.979 0.750 0.107
Hg3 0.521 0.250 0.607
Hg4 0.479 0.750 0.393

magnetic moment	0.0	μB/f.u.
SG	Pnma, No. 62



*x*
Material: SmTlHgSe3
Method: DFT, PBE-GGA
State: optimized geometry

abc: 11.155 4.285 14.386
angles: 90.00 90.00 90.00
Fractional coordinates of all 24 atoms:
Hg1 0.741 0.750 0.791
Hg2 0.259 0.250 0.209
Hg3 0.759 0.250 0.291
Hg4 0.241 0.750 0.709
Se1 0.464 0.250 0.117
Se2 0.760 0.750 0.171
Se3 0.561 0.250 0.391
Se4 0.740 0.250 0.671
Se5 0.036 0.750 0.617
Se6 0.939 0.750 0.891
Se7 0.061 0.250 0.109
Se8 0.964 0.250 0.383
Se9 0.536 0.750 0.883
Se10 0.260 0.750 0.329
Se11 0.439 0.750 0.609
Se12 0.240 0.250 0.829
Tl1 0.732 0.250 0.999
Tl2 0.268 0.750 0.001
Tl3 0.768 0.750 0.499
Tl4 0.232 0.250 0.501
Sm1 0.489 0.250 0.746
Sm2 0.989 0.250 0.754
Sm3 0.511 0.750 0.254
Sm4 0.011 0.750 0.246

magnetic moment	0.0	μB/f.u.
SG	Pnma, No. 62



Which structure loses on stability? *w* does.



*w*
Material: SmTlHgSe3
Method: DFT, PBE-GGA
State: optimized geometry

abc: 8.301 4.281 10.548
angles: 90.00 106.60 90.00
Fractional coordinates of all 12 atoms:
Hg1 0.917 0.750 0.383
Hg2 0.083 0.250 0.617
Tl1 0.265 0.250 0.283
Tl2 0.735 0.750 0.717
Se1 0.545 0.250 0.855
Se2 0.941 0.750 0.138
Se3 0.455 0.750 0.145
Se4 0.254 0.750 0.559
Se5 0.746 0.250 0.441
Se6 0.059 0.250 0.862
Sm1 0.306 0.750 0.865
Sm2 0.694 0.250 0.135

magnetic moment	0.0	μB/f.u.
SG	P2_1/m, No. 11



*x*
Material: SmTlHgSe3
Method: DFT, PBE-GGA
State: optimized geometry

abc: 4.395 12.118 12.786
angles: 90.00 90.00 90.00
Fractional coordinates of all 24 atoms:
Tl1 0.250 0.332 0.501
Tl2 0.750 0.168 0.001
Tl3 0.250 0.832 0.999
Tl4 0.750 0.668 0.499
Hg1 0.250 0.750 0.696
Hg2 0.750 0.750 0.196
Hg3 0.250 0.250 0.804
Hg4 0.750 0.250 0.304
Se1 0.250 0.416 0.936
Se2 0.250 0.032 0.837
Se3 0.250 0.916 0.564
Se4 0.750 0.968 0.163
Se5 0.750 0.270 0.675
Se6 0.250 0.730 0.325
Se7 0.250 0.230 0.175
Se8 0.750 0.770 0.825
Se9 0.750 0.084 0.436
Se10 0.250 0.532 0.663
Se11 0.750 0.468 0.337
Se12 0.750 0.584 0.064
Sm1 0.250 0.970 0.322
Sm2 0.250 0.470 0.178
Sm3 0.750 0.030 0.678
Sm4 0.750 0.530 0.822

magnetic moment	0.0	μB/f.u.
SG	Pnma, No. 62



*y*
Material: SmTlHgSe3
Method: DFT, PBE-GGA
State: optimized geometry

abc: 9.292 9.292 9.328
angles: 103.89 103.89 26.40
Fractional coordinates of all 12 atoms:
Se1 0.678 0.678 0.812
Se2 0.000 0.000 0.500
Se3 0.500 0.500 0.000
Se4 0.337 0.337 0.626
Se5 0.663 0.663 0.374
Se6 0.322 0.322 0.188
Sm1 0.174 0.174 0.594
Sm2 0.826 0.826 0.406
Hg1 0.478 0.478 0.279
Hg2 0.522 0.522 0.721
Tl1 0.137 0.137 0.079
Tl2 0.863 0.863 0.921

magnetic moment	0.0	μB/f.u.
SG	C2/m, No. 12



Which structure loses on stability? *y* does.



*w*
Material: TlSnHg3Se4
Method: DFT, PBE-GGA
State: optimized geometry

abc: 7.068 7.735 10.640
angles: 90.00 105.51 90.00
Fractional coordinates of all 18 atoms:
Se1 0.782 0.488 0.227
Se2 0.663 0.750 0.590
Se3 0.847 0.250 0.910
Se4 0.337 0.250 0.410
Se5 0.153 0.750 0.090
Se6 0.218 0.988 0.773
Se7 0.218 0.512 0.773
Se8 0.782 0.012 0.227
Hg1 0.718 0.457 0.466
Hg2 0.474 0.250 0.831
Hg3 0.282 0.957 0.534
Hg4 0.282 0.543 0.534
Hg5 0.526 0.750 0.169
Hg6 0.718 0.043 0.466
Sn1 0.047 0.750 0.307
Sn2 0.953 0.250 0.693
Tl1 0.723 0.750 0.886
Tl2 0.277 0.250 0.114

SG	P2_1/m, No. 11



*x*
Material: TlSnHg3Se4
Method: DFT, PBE-GGA
State: optimized geometry

abc: 6.800 6.800 6.800
angles: 90.00 90.00 90.00
Fractional coordinates of all 9 atoms:
Sn1 0.500 0.500 0.500
Se1 0.737 0.263 0.737
Se2 0.737 0.737 0.263
Se3 0.263 0.263 0.263
Se4 0.263 0.737 0.737
Hg1 0.500 0.500 0.000
Hg2 0.500 0.000 0.500
Hg3 0.000 0.500 0.500
Tl1 0.000 0.000 0.000

SG	P-43m, No. 215



Which structure loses on stability? *x* does.



*w*
Material: SrZnHgSe3
Method: DFT, PBE-GGA
State: optimized geometry

abc: 7.265 7.265 11.534
angles: 90.00 90.00 32.00
Fractional coordinates of all 12 atoms:
Sr1 0.218 0.218 0.750
Sr2 0.782 0.782 0.250
Se1 0.382 0.382 0.060
Se2 0.882 0.882 0.750
Se3 0.118 0.118 0.250
Se4 0.618 0.618 0.560
Se5 0.382 0.382 0.440
Se6 0.618 0.618 0.940
Zn1 0.000 0.000 0.500
Zn2 0.000 0.000 0.000
Hg1 0.493 0.493 0.250
Hg2 0.507 0.507 0.750

SG	Cmcm, No. 63



*x*
Material: SrZnHgSe3
Method: DFT, PBE-GGA
State: optimized geometry

abc: 4.107 7.036 11.426
angles: 90.00 90.00 73.03
Fractional coordinates of all 12 atoms:
Se1 0.083 0.834 0.750
Se2 0.365 0.270 0.574
Se3 0.365 0.270 0.926
Se4 0.635 0.730 0.074
Se5 0.917 0.166 0.250
Se6 0.635 0.730 0.426
Sr1 0.242 0.516 0.250
Sr2 0.758 0.484 0.750
Zn1 0.473 0.054 0.750
Zn2 0.527 0.946 0.250
Hg1 0.000 0.000 0.500
Hg2 0.000 0.000 0.000

SG	Cmcm, No. 63



Which structure loses on stability? *w* does.



*w*
Material: TmTlHgSe3
Method: DFT, PBE-GGA
State: optimized geometry

abc: 7.656 7.656 10.906
angles: 90.00 90.00 148.48
Fractional coordinates of all 12 atoms:
Se1 0.368 0.632 0.539
Se2 0.368 0.632 0.961
Se3 0.926 0.074 0.250
Se4 0.074 0.926 0.750
Se5 0.632 0.368 0.461
Se6 0.632 0.368 0.039
Tl1 0.749 0.251 0.750
Tl2 0.251 0.749 0.250
Tm1 0.000 0.000 0.500
Tm2 0.000 0.000 0.000
Hg1 0.452 0.548 0.750
Hg2 0.548 0.452 0.250

magnetic moment	0.0	μB/f.u.
SG	Cmcm, No. 63



*x*
Material: TmTlHgSe3
Method: DFT, PBE-GGA
State: optimized geometry

abc: 8.309 4.412 17.099
angles: 90.00 90.00 90.00
Fractional coordinates of all 24 atoms:
Se1 0.124 0.750 0.051
Se2 0.277 0.750 0.298
Se3 0.624 0.750 0.449
Se4 0.777 0.750 0.202
Se5 0.998 0.750 0.573
Se6 0.723 0.250 0.702
Se7 0.876 0.250 0.949
Se8 0.002 0.250 0.427
Se9 0.498 0.750 0.927
Se10 0.502 0.250 0.073
Se11 0.376 0.250 0.551
Se12 0.223 0.250 0.798
Tm1 0.273 0.750 0.462
Tm2 0.227 0.250 0.962
Tm3 0.773 0.750 0.038
Tm4 0.727 0.250 0.538
Hg1 0.930 0.750 0.340
Hg2 0.570 0.250 0.840
Hg3 0.070 0.250 0.660
Hg4 0.430 0.750 0.160
Tl1 0.569 0.250 0.307
Tl2 0.931 0.750 0.807
Tl3 0.431 0.750 0.693
Tl4 0.069 0.250 0.193

magnetic moment	0.0	μB/f.u.
SG	Pnma, No. 62



*y*
Material: TmTlHgSe3
Method: DFT, PBE-GGA
State: optimized geometry

abc: 4.226 12.323 12.812
angles: 90.00 90.00 90.00
Fractional coordinates of all 24 atoms:
Se1 0.750 0.082 0.434
Se2 0.250 0.739 0.333
Se3 0.250 0.918 0.566
Se4 0.250 0.418 0.934
Se5 0.250 0.033 0.825
Se6 0.250 0.533 0.675
Se7 0.750 0.761 0.833
Se8 0.250 0.239 0.167
Se9 0.750 0.261 0.667
Se10 0.750 0.582 0.066
Se11 0.750 0.467 0.325
Se12 0.750 0.967 0.175
Tm1 0.250 0.964 0.330
Tm2 0.250 0.464 0.170
Tm3 0.750 0.536 0.830
Tm4 0.750 0.036 0.670
Tl1 0.250 0.344 0.503
Tl2 0.250 0.844 0.997
Tl3 0.750 0.156 0.003
Tl4 0.750 0.656 0.497
Hg1 0.250 0.252 0.805
Hg2 0.750 0.748 0.195
Hg3 0.250 0.752 0.695
Hg4 0.750 0.248 0.305

magnetic moment	0.0	μB/f.u.
SG	Pnma, No. 62



Which structure loses on stability? *x* does.



*w*
Material: TmTlHgSe3
Method: DFT, PBE-GGA
State: optimized geometry

abc: 9.153 9.153 9.322
angles: 103.23 103.23 26.04
Fractional coordinates of all 12 atoms:
Tl1 0.139 0.139 0.075
Tl2 0.861 0.861 0.925
Tm1 0.174 0.174 0.586
Tm2 0.826 0.826 0.414
Hg1 0.519 0.519 0.720
Hg2 0.481 0.481 0.280
Se1 0.666 0.666 0.374
Se2 0.334 0.334 0.626
Se3 0.500 0.500 0.000
Se4 0.000 0.000 0.500
Se5 0.677 0.677 0.797
Se6 0.323 0.323 0.203

magnetic moment	0.0	μB/f.u.
SG	C2/m, No. 12



*x*
Material: TmTlHgSe3
Method: DFT, PBE-GGA
State: optimized geometry

abc: 14.518 4.195 11.193
angles: 90.00 90.00 90.00
Fractional coordinates of all 24 atoms:
Se1 0.596 0.750 0.369
Se2 0.651 0.750 0.774
Se3 0.906 0.750 0.580
Se4 0.096 0.750 0.131
Se5 0.594 0.250 0.080
Se6 0.406 0.750 0.920
Se7 0.349 0.250 0.226
Se8 0.904 0.250 0.869
Se9 0.094 0.250 0.420
Se10 0.849 0.250 0.274
Se11 0.404 0.250 0.631
Se12 0.151 0.750 0.726
Tl1 0.257 0.750 0.450
Tl2 0.243 0.250 0.950
Tl3 0.757 0.750 0.050
Tl4 0.743 0.250 0.550
Hg1 0.023 0.750 0.895
Hg2 0.977 0.250 0.105
Hg3 0.523 0.750 0.605
Hg4 0.477 0.250 0.395
Tm1 0.027 0.250 0.653
Tm2 0.527 0.250 0.847
Tm3 0.473 0.750 0.153
Tm4 0.973 0.750 0.347

magnetic moment	0.0	μB/f.u.
SG	Pnma, No. 62



Which structure loses on stability? *w* does.